Record 1
DFT (PBE) results for a relaxed structure of Ho3Ga2Ir2.

POSCAR file:
```
Ho3Ga2Ir2
1.0
-2.898 -1.523 -4.476
-2.296 -6.425 3.672
-10.949 6.668 4.821
Ir Ho Ga
8 12 8
direct
0.351 0.537 0.594
0.649 0.037 0.594
0.649 0.037 0.906
0.649 0.463 0.094
0.649 0.463 0.406
0.351 0.963 0.094
0.351 0.537 0.906
0.351 0.963 0.406
0.849 0.400 0.598
0.849 0.100 0.402
0.620 0.765 0.750
0.849 0.100 0.098
0.151 0.600 0.402
0.380 0.265 0.750
0.151 0.900 0.598
0.380 0.235 0.250
0.849 0.400 0.902
0.620 0.735 0.250
0.151 0.900 0.902
0.151 0.600 0.098
0.639 0.750 0.000
0.639 0.750 0.500
0.884 0.109 0.750
0.361 0.250 0.500
0.116 0.891 0.250
0.116 0.609 0.750
0.361 0.250 0.000
0.884 0.391 0.250
```

Calculated values
DFT total energy in eV/atom: -6.197
Total magnetization in μB per atom: 0.000
Calculated formation energy in meV/atom: -838

***

Record 2
DFT (PBE) results for a relaxed structure of Li2AuCl.

POSCAR file:
```
Li2AuCl
1.0
7.014 -0.010 -0.001
5.461 4.401 0.001
-6.217 -2.256 2.337
Li Au Cl
2 1 1
direct
0.783 0.283 0.500
0.056 0.056 0.000
0.453 0.453 0.000
0.207 0.707 0.500
```

Calculated values
Raw formation energy in kJ/mol of atoms: -94
DFT total energy in eV/atom: -3.215
Total magnetization in μB per atom: 0.000

***

Record 3
DFT (PBE) results for a relaxed structure of PmHo8Sc6.

POSCAR file:
```
PmHo8Sc6
1.0
9.328 0.000 0.000
4.664 8.078 0.000
4.664 2.693 5.767
Ho Sc Pm
8 6 1
direct
0.635 0.772 0.524
0.068 0.635 0.524
0.365 0.228 0.476
0.410 0.410 0.770
0.228 0.932 0.476
0.590 0.590 0.230
0.772 0.068 0.524
0.932 0.365 0.476
0.060 0.290 0.040
0.290 0.611 0.040
0.940 0.710 0.960
0.611 0.060 0.040
0.710 0.389 0.960
0.389 0.940 0.960
0.000 0.000 0.000
```

Calculated values
DFT total energy in eV/atom: -5.101
Total magnetization in μB per atom: 0.000
Calculated formation energy in meV/atom: 190

***

Record 4
DFT (PBE) results for a relaxed structure of BaCaHfCd2.

POSCAR file:
```
BaCaHfCd2
1.0
-2.460 -4.111 2.989
4.947 -2.909 0.072
1.463 2.607 4.790
Cd Ca Ba Hf
2 1 1 1
direct
0.500 0.000 0.000
0.000 0.000 0.500
0.000 0.500 0.000
0.500 0.500 0.500
0.000 0.000 0.000
```

Calculated values
DFT total energy in eV/atom: -2.702
Total magnetization in μB per atom: 0.000
Calculated formation energy in meV/atom: 440

***

Record 5
DFT (PBE) results for a relaxed structure of Ba3Ag2Ge2.

POSCAR file:
```
Ba3Ag2Ge2
1.0
-2.749 1.207 4.002
-2.511 -5.032 -3.334
5.836 -2.823 4.860
Ba Ge Ag
3 2 2
direct
0.500 0.000 0.000
0.323 0.646 0.368
0.677 0.354 0.632
0.976 0.953 0.646
0.024 0.047 0.354
0.813 0.626 0.078
0.187 0.374 0.922
```

Calculated values
DFT total energy in eV/atom: -3.365
Total magnetization in μB per atom: 0.000
Calculated formation energy in meV/atom: -407